No. 1
Below is an optimized crystal structure of La2Pm4O, with properties calculated at the PBE level.

Unit cell a=4.953 b=4.953 c=18.118 alpha=90.00 beta=90.00 gamma=90.00
Fractional positions:
La 0.000 0.000 0.167
La 0.000 0.000 0.833
La 0.500 0.500 0.333
La 0.500 0.500 0.667
Pm 0.000 0.000 0.366
Pm 0.000 0.000 0.634
Pm 0.000 0.500 0.000
Pm 0.000 0.500 0.500
Pm 0.500 0.000 0.000
Pm 0.500 0.000 0.500
Pm 0.500 0.500 0.134
Pm 0.500 0.500 0.866
O 0.000 0.000 0.500
O 0.500 0.500 0.000

Results
**Calculated density**: 6.53 g/cm³
**Total energy**: -5.475 eV/atom
**Total moment**: 0.0 Bohr magnetons per cell
**SG**: No. 139

=====

No. 2
Below is an optimized crystal structure of YHfN2F, with properties calculated at the PBE level.

Unit cell a=4.255 b=4.255 c=3.952 alpha=90.00 beta=90.00 gamma=90.00
Fractional positions:
Y 0.000 0.000 0.000
Hf 0.500 0.500 0.500
N 0.000 0.500 0.500
N 0.500 0.000 0.500
F 0.500 0.500 0.000

Results
**Calculated density**: 7.30 g/cm³
**Total energy**: -8.675 eV/atom
**Total moment**: 0.0 Bohr magnetons per cell
**SG**: No. 123

=====

No. 3
Below is an optimized crystal structure of NaAgSbAu, with properties calculated at the PBE level.

Unit cell a=6.957 b=6.957 c=6.957 alpha=90.00 beta=90.00 gamma=90.00
Fractional positions:
Na 0.000 0.000 0.000
Na 0.000 0.500 0.500
Na 0.500 0.000 0.500
Na 0.500 0.500 0.000
Ag 0.250 0.250 0.250
Ag 0.250 0.750 0.750
Ag 0.750 0.250 0.750
Ag 0.750 0.750 0.250
Sb 0.000 0.000 0.500
Sb 0.000 0.500 0.000
Sb 0.500 0.000 0.000
Sb 0.500 0.500 0.500
Au 0.250 0.250 0.750
Au 0.250 0.750 0.250
Au 0.750 0.250 0.250
Au 0.750 0.750 0.750

Results
**Calculated density**: 8.87 g/cm³
**Total energy**: -3.046 eV/atom
**Total moment**: 0.0 Bohr magnetons per cell
**SG**: No. 216

=====

No. 4
Below is an optimized crystal structure of CePuNbGa, with properties calculated at the PBE level.

Unit cell a=6.954 b=6.954 c=6.954 alpha=90.00 beta=90.00 gamma=90.00
Fractional positions:
Ce 0.000 0.000 0.000
Ce 0.000 0.500 0.500
Ce 0.500 0.000 0.500
Ce 0.500 0.500 0.000
Pu 0.250 0.250 0.250
Pu 0.250 0.750 0.750
Pu 0.750 0.250 0.750
Pu 0.750 0.750 0.250
Nb 0.000 0.000 0.500
Nb 0.000 0.500 0.000
Nb 0.500 0.000 0.000
Nb 0.500 0.500 0.500
Ga 0.250 0.250 0.750
Ga 0.250 0.750 0.250
Ga 0.750 0.250 0.250
Ga 0.750 0.750 0.750

Results
**Formation energy from the elements**: -8 kJ per mole of atoms
**Calculated density**: 10.80 g/cm³
**Total moment**: 25.9 Bohr magnetons per cell
**SG**: No. 216

=====

No. 5
Below is an optimized crystal structure of SmHgAs, with properties calculated at the PBE level.

Unit cell a=9.288 b=9.288 c=9.288 alpha=30.88 beta=30.88 gamma=30.88
Fractional positions:
Sm 0.108 0.108 0.108
Sm 0.892 0.892 0.892
Hg 0.325 0.325 0.325
Hg 0.675 0.675 0.675
As 0.216 0.216 0.216
As 0.784 0.784 0.784

Results
**Formation energy from the elements**: -63 kJ per mole of atoms
**Calculated density**: 7.56 g/cm³
**Total moment**: 0.0 Bohr magnetons per cell
**SG**: No. 166

=====

No. 6
Below is an optimized crystal structure of RbTa3Ti, with properties calculated at the PBE level.

Unit cell a=4.784 b=4.784 c=4.784 alpha=90.00 beta=90.00 gamma=90.00
Fractional positions:
Rb 0.000 0.000 0.000
Ta 0.000 0.000 0.500
Ta 0.000 0.500 0.000
Ta 0.500 0.000 0.000
Ti 0.500 0.500 0.500

Results
**Formation energy from the elements**: 291 kJ per mole of atoms
**Calculated density**: 10.25 g/cm³
**Total moment**: 0.0 Bohr magnetons per cell
**SG**: No. 221

=====

No. 7
Below is an optimized crystal structure of NdThAgAu, with properties calculated at the PBE level.

Unit cell a=7.460 b=7.460 c=7.460 alpha=90.00 beta=90.00 gamma=90.00
Fractional positions:
Nd 0.000 0.000 0.000
Nd 0.000 0.500 0.500
Nd 0.500 0.000 0.500
Nd 0.500 0.500 0.000
Th 0.000 0.000 0.500
Th 0.000 0.500 0.000
Th 0.500 0.000 0.000
Th 0.500 0.500 0.500
Ag 0.250 0.250 0.750
Ag 0.250 0.750 0.250
Ag 0.750 0.250 0.250
Ag 0.750 0.750 0.750
Au 0.250 0.250 0.250
Au 0.250 0.750 0.750
Au 0.750 0.250 0.750
Au 0.750 0.750 0.250

Results
**Formation energy from the elements**: -36 kJ per mole of atoms
**Calculated density**: 10.90 g/cm³
**Total moment**: 0.1 Bohr magnetons per cell
**SG**: No. 216

=====

No. 8
Below is an optimized crystal structure of La2ZnTe, with properties calculated at the PBE level.

Unit cell a=7.722 b=7.722 c=7.722 alpha=90.00 beta=90.00 gamma=90.00
Fractional positions:
La 0.250 0.250 0.250
La 0.250 0.250 0.750
La 0.250 0.750 0.250
La 0.250 0.750 0.750
La 0.750 0.250 0.250
La 0.750 0.250 0.750
La 0.750 0.750 0.250
La 0.750 0.750 0.750
Zn 0.000 0.000 0.000
Zn 0.000 0.500 0.500
Zn 0.500 0.000 0.500
Zn 0.500 0.500 0.000
Te 0.000 0.000 0.500
Te 0.000 0.500 0.000
Te 0.500 0.000 0.000
Te 0.500 0.500 0.500

Results
**Calculated density**: 6.79 g/cm³
**Total energy**: -4.279 eV/atom
**Total moment**: 0.0 Bohr magnetons per cell
**SG**: No. 225